{
  "formula": "TcPPbCl2",
  "functional": "PBEsol",
  "state": "optimized geometry",
  "cell": [[5.188, 0.000, 0.000], [0.000, 5.188, 0.000], [0.000, 0.000, 5.359]],
  "species": ["Tc", "P", "Pb", "Cl", "Cl"],
  "fractional_positions": [[0.000, 0.000, 0.000], [0.500, 0.500, 0.000], [0.500, 0.500, 0.500], [0.000, 0.500, 0.500], [0.500, 0.000, 0.500]],
  "e_form_raw_ev_per_atom": 1.055,
  "energy_ev_per_fu": -19.797,
  "spacegroup": "P4/mmm (123)",
  "vol_a3_per_atom": 28.84
}

---

{
  "formula": "P2PbWCl",
  "functional": "PBEsol",
  "state": "optimized geometry",
  "cell": [[4.715, 0.000, 0.000], [0.000, 4.715, 0.000], [0.000, 0.000, 4.813]],
  "species": ["P", "P", "Pb", "W", "Cl"],
  "fractional_positions": [[0.000, 0.500, 0.000], [0.500, 0.000, 0.000], [0.000, 0.000, 0.500], [0.500, 0.500, 0.000], [0.500, 0.500, 0.500]],
  "e_form_raw_ev_per_atom": 0.212,
  "energy_ev_per_fu": -30.339,
  "spacegroup": "P4/mmm (123)",
  "vol_a3_per_atom": 21.39
}

---

{
  "formula": "ZnPPbCl2",
  "functional": "PBEsol",
  "state": "optimized geometry",
  "cell": [[4.685, 0.000, 0.000], [0.000, 4.685, 0.000], [0.000, 0.000, 4.959]],
  "species": ["Zn", "P", "Pb", "Cl", "Cl"],
  "fractional_positions": [[0.000, 0.000, 0.000], [0.000, 0.000, 0.500], [0.500, 0.500, 0.500], [0.000, 0.500, 0.000], [0.500, 0.000, 0.000]],
  "e_form_raw_ev_per_atom": -0.211,
  "energy_ev_per_fu": -16.444,
  "spacegroup": "P4/mmm (123)",
  "vol_a3_per_atom": 21.77
}

---

{
  "formula": "RbPPdCl2",
  "functional": "PBEsol",
  "state": "optimized geometry",
  "cell": [[5.913, 0.000, 0.000], [0.000, 5.913, 0.000], [0.000, 0.000, 6.202]],
  "species": ["Rb", "P", "Pd", "Cl", "Cl"],
  "fractional_positions": [[0.000, 0.000, 0.000], [0.000, 0.000, 0.500], [0.500, 0.500, 0.500], [0.000, 0.500, 0.000], [0.500, 0.000, 0.000]],
  "e_form_raw_ev_per_atom": 1.006,
  "energy_ev_per_fu": -11.763,
  "spacegroup": "P4/mmm (123)",
  "vol_a3_per_atom": 43.37
}

---

{
  "formula": "ReP2PdCl",
  "functional": "PBEsol",
  "state": "optimized geometry",
  "cell": [[4.604, 0.000, 0.000], [0.000, 4.604, 0.000], [0.000, 0.000, 4.561]],
  "species": ["Re", "P", "P", "Pd", "Cl"],
  "fractional_positions": [[0.000, 0.000, 0.000], [0.000, 0.500, 0.500], [0.500, 0.000, 0.500], [0.500, 0.500, 0.500], [0.500, 0.500, 0.000]],
  "e_form_raw_ev_per_atom": 1.393,
  "energy_ev_per_fu": -25.917,
  "spacegroup": "P4/mmm (123)",
  "vol_a3_per_atom": 19.34
}

---

{
  "formula": "ReP2PdCl",
  "functional": "PBEsol",
  "state": "optimized geometry",
  "cell": [[4.497, 0.000, 0.000], [0.000, 4.497, 0.000], [0.000, 0.000, 4.912]],
  "species": ["Re", "P", "P", "Pd", "Cl"],
  "fractional_positions": [[0.000, 0.000, 0.000], [0.000, 0.500, 0.000], [0.500, 0.000, 0.000], [0.500, 0.500, 0.500], [0.000, 0.000, 0.500]],
  "e_form_raw_ev_per_atom": 0.695,
  "energy_ev_per_fu": -29.408,
  "spacegroup": "P4/mmm (123)",
  "vol_a3_per_atom": 19.87
}

---

{
  "formula": "P2PdRuCl",
  "functional": "PBEsol",
  "state": "optimized geometry",
  "cell": [[4.422, 0.000, 0.000], [0.000, 4.422, 0.000], [0.000, 0.000, 4.875]],
  "species": ["P", "P", "Pd", "Ru", "Cl"],
  "fractional_positions": [[0.000, 0.500, 0.000], [0.500, 0.000, 0.000], [0.000, 0.000, 0.500], [0.500, 0.500, 0.000], [0.500, 0.500, 0.500]],
  "e_form_raw_ev_per_atom": 0.600,
  "energy_ev_per_fu": -26.724,
  "spacegroup": "P4/mmm (123)",
  "vol_a3_per_atom": 19.06
}

---

{
  "formula": "P2PdSCl",
  "functional": "PBEsol",
  "state": "optimized geometry",
  "cell": [[4.485, 0.000, 0.000], [0.000, 4.485, 0.000], [0.000, 0.000, 4.455]],
  "species": ["P", "P", "Pd", "S", "Cl"],
  "fractional_positions": [[0.000, 0.500, 0.000], [0.500, 0.000, 0.000], [0.000, 0.000, 0.500], [0.500, 0.500, 0.500], [0.500, 0.500, 0.000]],
  "e_form_raw_ev_per_atom": 1.328,
  "energy_ev_per_fu": -17.295,
  "spacegroup": "P4/mmm (123)",
  "vol_a3_per_atom": 17.92
}

---

{
  "formula": "PPdSCl2",
  "functional": "PBEsol",
  "state": "optimized geometry",
  "cell": [[4.517, 0.000, 0.000], [0.000, 4.517, 0.000], [0.000, 0.000, 4.733]],
  "species": ["P", "Pd", "S", "Cl", "Cl"],
  "fractional_positions": [[0.000, 0.000, 0.000], [0.500, 0.500, 0.000], [0.000, 0.000, 0.500], [0.000, 0.500, 0.500], [0.500, 0.000, 0.500]],
  "e_form_raw_ev_per_atom": 0.762,
  "energy_ev_per_fu": -16.339,
  "spacegroup": "P4/mmm (123)",
  "vol_a3_per_atom": 19.32
}

---

{
  "formula": "TiPPdCl2",
  "functional": "PBEsol",
  "state": "optimized geometry",
  "cell": [[4.523, 0.000, 0.000], [0.000, 4.523, 0.000], [0.000, 0.000, 4.937]],
  "species": ["Ti", "P", "Pd", "Cl", "Cl"],
  "fractional_positions": [[0.000, 0.000, 0.000], [0.000, 0.000, 0.500], [0.500, 0.500, 0.500], [0.000, 0.500, 0.000], [0.500, 0.000, 0.000]],
  "e_form_raw_ev_per_atom": -0.110,
  "energy_ev_per_fu": -24.637,
  "spacegroup": "P4/mmm (123)",
  "vol_a3_per_atom": 20.20
}

---

{
  "formula": "P2PtCl",
  "functional": "PBEsol",
  "state": "optimized geometry",
  "cell": [[1.652, -3.385, 0.000], [1.652, 3.385, 0.000], [0.000, 0.000, 7.515]],
  "species": ["P", "P", "Pt", "Cl"],
  "fractional_positions": [[0.000, 0.000, 0.000], [0.500, 0.500, 0.186], [0.000, 0.000, 0.396], [0.500, 0.500, 0.631]],
  "e_form_raw_ev_per_atom": 0.257,
  "energy_ev_per_fu": -19.528,
  "spacegroup": "Cmm2 (35)",
  "vol_a3_per_atom": 21.01
}

---

{
  "formula": "P2RuPtCl",
  "functional": "PBEsol",
  "state": "optimized geometry",
  "cell": [[4.569, 0.000, 0.000], [0.000, 4.569, 0.000], [0.000, 0.000, 4.727]],
  "species": ["P", "P", "Ru", "Pt", "Cl"],
  "fractional_positions": [[0.000, 0.500, 0.000], [0.500, 0.000, 0.000], [0.000, 0.000, 0.500], [0.500, 0.500, 0.000], [0.500, 0.500, 0.500]],
  "e_form_raw_ev_per_atom": 1.207,
  "energy_ev_per_fu": -24.691,
  "spacegroup": "P4/mmm (123)",
  "vol_a3_per_atom": 19.73
}